Entry 1:
ScCdInCu: relaxed, PBE-GGA.

Cell lengths 4.7645, 4.7645, 4.7645 Å; angles 60.00, 60.00, 60.00 degrees
Last column: nearest neighbours and their distance in Å.
Element x y z (fractional)
Cd 0.5000 0.5000 0.5000  4 Cu 2.92, 4 Sc 2.92
Sc 0.2500 0.2500 0.2500  4 Cd 2.92, 4 In 2.92
Cu 0.7500 0.7500 0.7500  4 In 2.92, 4 Cd 2.92
In 0.0000 0.0000 0.0000  4 Cu 2.92, 4 Sc 2.92

Properties
- symmetry = F-43m
- crystal system = cubic
- electronic total energy (eV per atom) = -3.57

---

Entry 2:
Zr2PBrCl: relaxed, PBE-GGA.

Cell lengths 3.7614, 3.7614, 9.9836 Å; angles 90.00, 90.00, 120.00 degrees
Last column: nearest neighbours and their distance in Å.
Element x y z (fractional)
Cl 0.6667 0.3333 0.6944  3 Zr 2.75
Br 0.3333 0.6667 0.3164  3 Zr 2.86
Zr 0.6667 0.3333 0.1295  3 P 2.55
Zr 0.3333 0.6667 0.8634  3 P 2.55, 3 Cl 2.75
P 0.0000 0.0000 0.9964  6 Zr 2.55

Properties
- symmetry = P3m1
- crystal system = trigonal
- electronic total energy (eV per atom) = -6.67

---

Entry 3:
Al3CoW9C3: relaxed, PBE-GGA.

Cell lengths 7.9415, 7.9415, 7.8515 Å; angles 90.00, 90.00, 120.00 degrees
Last column: nearest neighbours and their distance in Å.
Element x y z (fractional)
W 0.5513 0.4487 0.7500  2 C 2.09
C 0.0000 0.5000 0.0000  6 W 2.09-2.16
Co 0.0000 0.0000 0.5000  6 Al 2.48
W 0.5513 0.1026 0.7500  2 C 2.09
Al 0.8899 0.1101 0.7500  2 Co 2.48, 2 Al 2.62, 2 W 2.66
W 0.2040 0.7960 0.9294  2 C 2.16
C 0.5000 0.0000 0.5000  6 W 2.09-2.16
W 0.8974 0.4487 0.7500  2 C 2.09
W 0.5919 0.7960 0.5706  2 C 2.16
W 0.5919 0.7960 0.9294  2 C 2.16
W 0.4081 0.2040 0.0706  2 C 2.16
C 0.5000 0.5000 0.5000  6 W 2.09-2.16
Al 0.8899 0.7798 0.7500  2 Co 2.48, 2 Al 2.62, 2 W 2.66
C 0.5000 0.5000 0.0000  6 W 2.09-2.16
W 0.7960 0.5919 0.0706  2 C 2.16
C 0.5000 0.0000 0.0000  6 W 2.09-2.16
W 0.2040 0.7960 0.5706  2 C 2.16
W 0.7960 0.5919 0.4294  2 C 2.16
Al 0.2202 0.1101 0.7500  2 Co 2.48, 2 Al 2.62, 2 W 2.66
W 0.2040 0.4081 0.9294  2 C 2.16
W 0.7960 0.2040 0.0706  2 C 2.16
W 0.4487 0.5513 0.2500  2 C 2.09
W 0.7960 0.2040 0.4294  2 C 2.16
W 0.2040 0.4081 0.5706  2 C 2.16
W 0.4487 0.8974 0.2500  2 C 2.09
Al 0.7798 0.8899 0.2500  2 Co 2.48, 2 Al 2.62, 2 W 2.66
C 0.0000 0.5000 0.5000  6 W 2.09-2.16
Co 0.0000 0.0000 0.0000  6 Al 2.48
Al 0.1101 0.2202 0.2500  2 Co 2.48, 2 Al 2.62, 2 W 2.66
Al 0.1101 0.8899 0.2500  2 Co 2.48, 2 Al 2.62, 2 W 2.66
W 0.1026 0.5513 0.2500  2 C 2.09
W 0.4081 0.2040 0.4294  2 C 2.16

Properties
- symmetry = P6_3/mmc
- crystal system = hexagonal
- electronic total energy (eV per atom) = -10.27

---

Entry 4:
Cd2Pd3Se2: relaxed, PBE-GGA.

Cell lengths 5.9125, 5.9125, 5.9125 Å; angles 58.85, 58.85, 58.85 degrees
Last column: nearest neighbours and their distance in Å.
Element x y z (fractional)
Cd 0.5000 0.5000 0.5000  6 Pd 2.96
Cd 0.0000 0.0000 0.0000  6 Pd 2.90, 2 Se 3.09
Se 0.7887 0.7887 0.7887  3 Pd 2.45
Pd 0.5000 0.5000 0.0000  2 Se 2.45
Pd 0.5000 0.0000 0.5000  2 Se 2.45
Se 0.2113 0.2113 0.2113  3 Pd 2.45
Pd 0.0000 0.5000 0.5000  2 Se 2.45

Properties
- symmetry = R-3m
- crystal system = trigonal
- electronic total energy (eV per atom) = -3.87